Entry 1:
First-principles (PBE) data for crystalline CeSm2TmP4 at its relaxed geometry, as listed in Alexandria via LeMat-Bulk.

Cell: 7.0174 4.0618 7.0363 Å, 90.00 109.40 90.00°
With the nearest neighbours (Å) after each atom.
Space group P2/m (No. 10)
Unique sites:
Ce  0.0000  0.0000  0.0000 (multiplicity 1)  6 P 2.84-2.85
Sm  0.0000  0.5000  0.5000 (multiplicity 1)  6 P 2.91
Sm  0.5000  0.0000  0.5000 (multiplicity 1)  6 P 2.89
Tm  0.5000  0.5000  0.0000 (multiplicity 1)  6 P 2.83
P  0.2503  0.5000  0.2436 (multiplicity 2)  1 Tm 2.83, 2 Ce 2.85, 3 Sm 2.89-2.91
P  0.2545  0.0000  0.7588 (multiplicity 2)  2 Tm 2.83, 1 Ce 2.84, 3 Sm 2.89-2.91

## Properties
Crystal system: monoclinic
Energy of formation (meV/atom): -1563

Entry 2:
First-principles (PBE) data for crystalline Ce3Sm2UP6 at its relaxed geometry, as listed in Alexandria via LeMat-Bulk.

Cell: 7.0506 12.2116 7.0427 Å, 90.00 109.48 90.00°
With the nearest neighbours (Å) after each atom.
Space group C2/m (No. 12)
Unique sites:
Ce  0.0000  0.0000  0.0000 (multiplicity 2)  6 P 2.87-2.95
Ce  0.0000  0.3312  0.0000 (multiplicity 4)  6 P 2.86-2.93
Sm  0.0000  0.1661  0.5000 (multiplicity 4)  6 P 2.89-2.90
U  0.0000  0.5000  0.5000 (multiplicity 2)  6 P 2.81
P  0.2405  0.5000  0.2528 (multiplicity 4)  1 U 2.81, 3 Ce 2.88-2.95, 2 Sm 2.89
P  0.2437  0.3382  0.7463 (multiplicity 8)  1 U 2.81, 3 Ce 2.86-2.93, 2 Sm 2.89-2.90

## Properties
Crystal system: monoclinic
Energy of formation (meV/atom): -1430

Entry 3:
First-principles (PBE) data for crystalline Ce4SmU3P8 at its relaxed geometry, as listed in Alexandria via LeMat-Bulk.

Cell: 8.0505 8.0505 19.8793 Å, 90.00 90.00 120.00°
With the nearest neighbours (Å) after each atom.
Space group R-3m (No. 166, hexagonal axes)
Unique sites:
Ce  0.0000  0.0000  0.0000 (multiplicity 3)  6 P 2.85
Ce  0.0000  0.5000  0.0000 (multiplicity 9)  6 P 2.90-2.91
Sm  0.0000  0.0000  0.5000 (multiplicity 3)  6 P 2.86
U  0.0000  0.5000  0.5000 (multiplicity 9)  6 P 2.80-2.81
P  0.0000  0.0000  0.2460 (multiplicity 6)  3 U 2.81, 3 Ce 2.90
P  0.0068  0.5034  0.7528 (multiplicity 18)  2 U 2.80, 3 Ce 2.85-2.91, 1 Sm 2.86

## Properties
Crystal system: trigonal
Energy of formation (meV/atom): -1298

Entry 4:
First-principles (PBE) data for crystalline CeSm2U3P6 at its relaxed geometry, as listed in Alexandria via LeMat-Bulk.

Cell: 6.9140 11.9741 7.0446 Å, 90.00 109.10 90.00°
With the nearest neighbours (Å) after each atom.
Space group C2/m (No. 12)
Unique sites:
Ce  0.0000  0.0000  0.0000 (multiplicity 2)  6 P 2.89
Sm  0.0000  0.3335  0.0000 (multiplicity 4)  6 P 2.89-2.90
U  0.0000  0.1672  0.5000 (multiplicity 4)  6 P 2.79-2.80
U  0.0000  0.5000  0.5000 (multiplicity 2)  6 P 2.79-2.80
P  0.2448  0.0000  0.7377 (multiplicity 4)  3 U 2.80, 1 Ce 2.89, 2 Sm 2.89
P  0.2465  0.3338  0.7376 (multiplicity 8)  3 U 2.79-2.80, 1 Ce 2.89, 2 Sm 2.90

## Properties
Crystal system: monoclinic
Energy of formation (meV/atom): -1253

Entry 5:
First-principles (PBE) data for crystalline CeSmU2P4 at its relaxed geometry, as listed in Alexandria via LeMat-Bulk.

Cell: 6.9143 3.9898 7.0432 Å, 90.00 109.11 90.00°
With the nearest neighbours (Å) after each atom.
Space group P2/m (No. 10)
Unique sites:
Ce  0.0000  0.0000  0.0000 (multiplicity 1)  6 P 2.89
Sm  0.5000  0.5000  0.0000 (multiplicity 1)  6 P 2.89
U  0.0000  0.5000  0.5000 (multiplicity 1)  6 P 2.79-2.80
U  0.5000  0.0000  0.5000 (multiplicity 1)  6 P 2.80
P  0.2452  0.0000  0.7374 (multiplicity 2)  3 U 2.79-2.80, 1 Ce 2.89, 2 Sm 2.89
P  0.2535  0.5000  0.2617 (multiplicity 2)  3 U 2.80, 2 Ce 2.89, 1 Sm 2.89

## Properties
Crystal system: monoclinic
Energy of formation (meV/atom): -1245

Entry 6:
First-principles (PBE) data for crystalline Ce2SmYP4 at its relaxed geometry, as listed in Alexandria via LeMat-Bulk.

Cell: 7.0472 4.0757 7.0594 Å, 90.00 109.50 90.00°
With the nearest neighbours (Å) after each atom.
Space group P2/m (No. 10)
Unique sites:
Ce  0.0000  0.0000  0.0000 (multiplicity 1)  6 P 2.86-2.87
Ce  0.0000  0.5000  0.5000 (multiplicity 1)  6 P 2.89
Sm  0.5000  0.0000  0.5000 (multiplicity 1)  6 P 2.89-2.90
Y  0.5000  0.5000  0.0000 (multiplicity 1)  6 P 2.87
P  0.2482  0.5000  0.2466 (multiplicity 2)  3 Ce 2.87-2.89, 1 Y 2.87, 2 Sm 2.90
P  0.2502  0.0000  0.7528 (multiplicity 2)  3 Ce 2.86-2.89, 2 Y 2.87, 1 Sm 2.89

## Properties
Crystal system: monoclinic
Energy of formation (meV/atom): -1554

Entry 7:
First-principles (PBE) data for crystalline Ce3SmY2P6 at its relaxed geometry, as listed in Alexandria via LeMat-Bulk.

Cell: 7.0461 12.2062 7.0328 Å, 90.00 109.52 90.00°
With the nearest neighbours (Å) after each atom.
Space group C2/m (No. 12)
Unique sites:
Ce  0.0000  0.0000  0.0000 (multiplicity 2)  6 P 2.86-2.88
Ce  0.0000  0.3339  0.0000 (multiplicity 4)  6 P 2.86-2.88
Sm  0.0000  0.5000  0.5000 (multiplicity 2)  6 P 2.89
Y  0.0000  0.1669  0.5000 (multiplicity 4)  6 P 2.86-2.87
P  0.2466  0.0000  0.7494 (multiplicity 4)  3 Ce 2.86-2.88, 2 Y 2.86, 1 Sm 2.89
P  0.2484  0.1682  0.2500 (multiplicity 8)  3 Ce 2.86-2.88, 2 Y 2.86-2.87, 1 Sm 2.89

## Properties
Crystal system: monoclinic
Energy of formation (meV/atom): -1558

Entry 8:
First-principles (PBE) data for crystalline Ce2SmY3P6 at its relaxed geometry, as listed in Alexandria via LeMat-Bulk.

Cell: 7.0219 12.1620 7.0062 Å, 90.00 109.51 90.00°
With the nearest neighbours (Å) after each atom.
Space group C2/m (No. 12)
Unique sites:
Ce  0.0000  0.1668  0.0000 (multiplicity 4)  6 P 2.86-2.87
Sm  0.0000  0.5000  0.0000 (multiplicity 2)  6 P 2.89
Y  0.0000  0.0000  0.5000 (multiplicity 2)  6 P 2.84-2.86
Y  0.0000  0.3339  0.5000 (multiplicity 4)  6 P 2.84-2.86
P  0.2482  0.0000  0.2533 (multiplicity 4)  3 Y 2.84-2.86, 2 Ce 2.87, 1 Sm 2.89
P  0.2477  0.1681  0.7476 (multiplicity 8)  3 Y 2.84-2.86, 2 Ce 2.86, 1 Sm 2.89

## Properties
Crystal system: monoclinic
Energy of formation (meV/atom): -1583

Entry 9:
First-principles (PBE) data for crystalline Ce3SmZr2P6 at its relaxed geometry, as listed in Alexandria via LeMat-Bulk.

Cell: 6.8574 11.8801 6.8668 Å, 90.00 109.50 90.00°
With the nearest neighbours (Å) after each atom.
Space group C2/m (No. 12)
Unique sites:
Ce  0.0000  0.0000  0.0000 (multiplicity 2)  6 P 2.79-2.88
Ce  0.0000  0.3367  0.0000 (multiplicity 4)  6 P 2.81-2.88
Sm  0.0000  0.5000  0.5000 (multiplicity 2)  6 P 2.82-2.83
Zr  0.0000  0.1676  0.5000 (multiplicity 4)  6 P 2.72-2.73
P  0.2330  0.0000  0.7350 (multiplicity 4)  2 Zr 2.72, 3 Ce 2.79-2.86, 1 Sm 2.82
P  0.2477  0.1725  0.2612 (multiplicity 8)  2 Zr 2.72-2.73, 3 Ce 2.81-2.88, 1 Sm 2.83

## Properties
Crystal system: monoclinic
Energy of formation (meV/atom): -1476

Entry 10:
First-principles (PBE) data for crystalline CeSm2ZrP4 at its relaxed geometry, as listed in Alexandria via LeMat-Bulk.

Cell: 6.9241 3.9962 6.9321 Å, 90.00 109.25 90.00°
With the nearest neighbours (Å) after each atom.
Space group P2/m (No. 10)
Unique sites:
Ce  0.0000  0.0000  0.0000 (multiplicity 1)  6 P 2.81-2.82
Sm  0.0000  0.5000  0.5000 (multiplicity 1)  6 P 2.92
Sm  0.5000  0.0000  0.5000 (multiplicity 1)  6 P 2.84-2.85
Zr  0.5000  0.5000  0.0000 (multiplicity 1)  6 P 2.73-2.75
P  0.2561  0.5000  0.2390 (multiplicity 2)  1 Zr 2.73, 2 Ce 2.82, 3 Sm 2.85-2.92
P  0.2639  0.0000  0.7668 (multiplicity 2)  2 Zr 2.75, 1 Ce 2.81, 3 Sm 2.84-2.92

## Properties
Crystal system: monoclinic
Energy of formation (meV/atom): -1491

Entry 11:
First-principles (PBE) data for crystalline Ce2SnP at its relaxed geometry, as listed in Alexandria via LeMat-Bulk.

Cell: 4.1171 4.1171 22.8447 Å, 90.00 90.00 120.00°
With the nearest neighbours (Å) after each atom.
Space group R-3m (No. 166, hexagonal axes)
Unique sites:
Ce  0.0000  0.0000  0.2380 (multiplicity 6)  3 P 2.88, 3 Sn 3.22
Sn  0.0000  0.0000  0.0000 (multiplicity 3)  6 Ce 3.22
P  0.0000  0.0000  0.5000 (multiplicity 3)  6 Ce 2.88

## Properties
Relative energy among the computed polymorphs (eV per atom): 0.0000
Crystal system: trigonal
Energy of formation (meV/atom): -960

Entry 12:
First-principles (PBE) data for crystalline Ce2SnP at its relaxed geometry, as listed in Alexandria via LeMat-Bulk.

Cell: 3.4844 3.4844 8.0548 Å, 90.00 90.00 90.00°
With the nearest neighbours (Å) after each atom.
Space group P4/mmm (No. 123)
Unique sites:
Ce  0.0000  0.0000  0.2095 (multiplicity 2)  4 P 2.99
Sn  0.5000  0.5000  0.5000 (multiplicity 1)  8 Ce 3.40, 4 Sn 3.48
P  0.5000  0.5000  0.0000 (multiplicity 1)  8 Ce 2.99

## Properties
Relative energy among the computed polymorphs (eV per atom): 0.0605
Crystal system: tetragonal
Energy of formation (meV/atom): -899

Among the records above, which one has the highest energy of formation? number 12